1.
A plane-wave DFT calculation with PBE was carried out for a geometry-optimized CsUZnSe4 structure.

a = 6.5896 Å, b = 7.0223 Å, c = 9.8042 Å
α = 90.00°, β = 107.24°, γ = 90.00°
Closest atoms and distances in Å follow each position.
Space group P2_1/m (No. 11)
Symmetry-distinct sites (fractional):
Cs  0.2017  0.2500  0.4546 (multiplicity 2)  6 Se 3.46-3.84
U  0.3259  0.7500  0.0517 (multiplicity 2)  6 Se 2.72-2.91
Zn  0.1224  0.2500  0.8461 (multiplicity 2)  4 Se 2.41-2.49
Se  0.0973  0.2500  0.0878 (multiplicity 2)  1 Zn 2.42
Se  0.2365  0.7500  0.3117 (multiplicity 2)  1 Zn 2.41
Se  0.3532  0.5152  0.8131 (multiplicity 4)  1 Zn 2.49

Summary:
Formation energy from raw total energies ... -985 meV per atom

2.
A plane-wave DFT calculation with PBE was carried out for a geometry-optimized Na4Pu3PN8 structure.

a = 6.7483 Å, b = 6.7483 Å, c = 16.8284 Å
α = 90.00°, β = 90.00°, γ = 120.00°
Closest atoms and distances in Å follow each position.
Space group R-3m (No. 166, hexagonal axes)
Symmetry-distinct sites (fractional):
Na  0.0000  0.0000  0.0000 (multiplicity 3)  6 N 2.61
Na  0.0000  0.5000  0.0000 (multiplicity 9)  6 N 2.61-2.65
Pu  0.0000  0.5000  0.5000 (multiplicity 9)  6 N 2.18-2.22
P  0.0000  0.0000  0.5000 (multiplicity 3)  6 N 2.23
N  0.0000  0.0000  0.2300 (multiplicity 6)  3 Pu 2.22
N  0.0062  0.5031  0.7725 (multiplicity 18)  2 Pu 2.18, 1 P 2.23

Summary:
Formation energy from raw total energies ... -444 meV per atom

3.
A plane-wave DFT calculation with PBE was carried out for a geometry-optimized Nd2DyPt structure.

a = 3.7853 Å, b = 3.7853 Å, c = 32.1867 Å
α = 90.00°, β = 90.00°, γ = 120.00°
Closest atoms and distances in Å follow each position.
Space group R-3m (No. 166, hexagonal axes)
Symmetry-distinct sites (fractional):
Nd  0.0000  0.0000  0.1085 (multiplicity 6)  3 Pt 2.88
Dy  0.0000  0.0000  0.0000 (multiplicity 3)  2 Nd 3.49, 6 Dy 3.79
Pt  0.0000  0.0000  0.5000 (multiplicity 3)  6 Nd 2.88

Summary:
Excess energy over the best structure of this formula in the dataset ... 164 kJ/mol of formula units

4.
A plane-wave DFT calculation with PBE was carried out for a geometry-optimized Zn2InCuAu5 structure.

a = 6.6827 Å, b = 6.6827 Å, c = 14.7571 Å
α = 90.00°, β = 90.00°, γ = 90.00°
Closest atoms and distances in Å follow each position.
Space group I4/mcm (No. 140)
Symmetry-distinct sites (fractional):
Zn  0.1265  0.3735  0.0000 (multiplicity 8)  1 Zn 2.39, 4 Au 2.58-2.64
In  0.0000  0.0000  0.2500 (multiplicity 4)  8 Au 3.00, 4 Cu 3.34
Cu  0.0000  0.5000  0.2500 (multiplicity 4)  4 Au 2.53
Au  0.0000  0.0000  0.0000 (multiplicity 4)  4 Zn 2.64
Au  0.1919  0.3081  0.3696 (multiplicity 16)  1 Cu 2.53, 1 Zn 2.58

5.
A plane-wave DFT calculation with PBE was carried out for a geometry-optimized CsIrS structure.

a = 13.1610 Å, b = 4.1886 Å, c = 7.0992 Å
α = 90.00°, β = 108.22°, γ = 90.00°
Closest atoms and distances in Å follow each position.
Space group C2/m (No. 12)
Symmetry-distinct sites (fractional):
Cs  0.1008  0.0000  0.2992 (multiplicity 4)  5 S 3.68-4.12, 5 Ir 3.72-3.91
Ir  0.2120  0.0000  0.8737 (multiplicity 4)  3 S 2.27-2.38
S  0.1412  0.5000  0.8278 (multiplicity 4)  3 Ir 2.27-2.38

Summary:
Formation energy from raw total energies ... -371 meV per atom

6.
A plane-wave DFT calculation with PBE was carried out for a geometry-optimized NaSmBr structure.

a = 11.1832 Å, b = 3.6602 Å, c = 9.7677 Å
α = 90.00°, β = 96.76°, γ = 90.00°
Closest atoms and distances in Å follow each position.
Space group C2/m (No. 12)
Symmetry-distinct sites (fractional):
Na  0.1264  0.0000  0.4500 (multiplicity 4)  1 Br 2.91, 1 Na 3.10
Sm  0.1814  0.0000  0.8616 (multiplicity 4)  4 Br 3.05-3.14
Br  0.1008  0.0000  0.1497 (multiplicity 4)  1 Na 2.91, 4 Sm 3.05-3.14

Summary:
Formation energy from raw total energies ... -576 meV per atom

7.
A plane-wave DFT calculation with PBE was carried out for a geometry-optimized CeHo8Sc2 structure.

a = 18.8091 Å, b = 6.7813 Å, c = 5.4138 Å
α = 90.00°, β = 92.77°, γ = 90.00°
Closest atoms and distances in Å follow each position.
Space group C2/m (No. 12)
Symmetry-distinct sites (fractional):
Ce  0.0000  0.0000  0.0000 (multiplicity 2)  10 Ho 3.50-3.77
Ho  0.0484  0.5000  0.2379 (multiplicity 4)  2 Ho 3.08-3.45, 1 Sc 3.13
Ho  0.1364  0.2654  0.7332 (multiplicity 8)  4 Ho 3.18-3.47, 3 Sc 3.33-3.48, 1 Ce 3.50
Ho  0.1919  0.0000  0.2352 (multiplicity 4)  4 Sc 3.22-3.42, 6 Ho 3.38-3.60
Sc  0.2148  0.5000  0.2484 (multiplicity 4)  11 Ho 3.13-3.48

8.
A plane-wave DFT calculation with PBE was carried out for a geometry-optimized Na2BiPd structure.

a = 3.3503 Å, b = 3.3503 Å, c = 32.0540 Å
α = 90.00°, β = 90.00°, γ = 120.00°
Closest atoms and distances in Å follow each position.
Space group R-3m (No. 166, hexagonal axes)
Symmetry-distinct sites (fractional):
Na  0.0000  0.0000  0.0994 (multiplicity 6)  3 Pd 2.90, 1 Bi 3.19
Bi  0.0000  0.0000  0.0000 (multiplicity 3)  2 Na 3.19, 6 Bi 3.35
Pd  0.0000  0.0000  0.5000 (multiplicity 3)  6 Na 2.90

9.
A plane-wave DFT calculation with PBE was carried out for a geometry-optimized PaGaCo3Si structure.

a = 6.0517 Å, b = 11.0677 Å, c = 5.4449 Å
α = 90.00°, β = 90.00°, γ = 90.00°
Closest atoms and distances in Å follow each position.
Space group Cmcm (No. 63)
Symmetry-distinct sites (fractional):
Pa  0.0000  0.1928  0.2500 (multiplicity 4)  8 Co 2.81-3.10, 2 Si 2.82, 1 Ga 2.87
Ga  0.0000  0.4518  0.2500 (multiplicity 4)  5 Co 2.32-2.44
Co  0.0000  0.3277  0.7500 (multiplicity 4)  1 Si 2.22, 1 Ga 2.44
Co  0.2016  0.0000  0.0000 (multiplicity 8)  2 Si 2.30, 2 Ga 2.32, 1 Co 2.44
Si  0.0000  0.1267  0.7500 (multiplicity 4)  5 Co 2.22-2.30

Summary:
Formation energy from raw total energies ... -246 meV per atom

10.
A plane-wave DFT calculation with PBE was carried out for a geometry-optimized Nd10Sm4Th structure.

a = 12.9094 Å, b = 12.9094 Å, c = 6.7499 Å
α = 90.00°, β = 90.00°, γ = 90.00°
Closest atoms and distances in Å follow each position.
Space group I4/m (No. 87)
Symmetry-distinct sites (fractional):
Nd  0.0000  0.5000  0.2500 (multiplicity 4)  6 Nd 3.18-3.37
Nd  0.1267  0.7110  0.2432 (multiplicity 16)  4 Nd 3.18-3.47, 2 Sm 3.39-3.41
Sm  0.0662  0.1714  0.5000 (multiplicity 8)  2 Sm 3.36, 6 Nd 3.39-3.60
Th  0.0000  0.0000  0.0000 (multiplicity 2)  8 Sm 4.13, 8 Nd 4.39

11.
A plane-wave DFT calculation with PBE was carried out for a geometry-optimized AsRh structure.

a = 5.5035 Å, b = 5.5035 Å, c = 5.5035 Å
α = 90.00°, β = 90.00°, γ = 90.00°
Closest atoms and distances in Å follow each position.
Space group F-43m (No. 216)
Symmetry-distinct sites (fractional):
As  0.0000  0.0000  0.0000 (multiplicity 4)  4 Rh 2.38
Rh  0.2500  0.2500  0.7500 (multiplicity 4)  4 As 2.38

12.
A plane-wave DFT calculation with PBE was carried out for a geometry-optimized Ce2Nd5Ga4 structure.

a = 25.8958 Å, b = 3.4941 Å, c = 7.2204 Å
α = 90.00°, β = 90.34°, γ = 90.00°
Closest atoms and distances in Å follow each position.
Space group C2/m (No. 12)
Symmetry-distinct sites (fractional):
Ce  0.0942  0.0000  0.3067 (multiplicity 4)  4 Ga 3.07-3.11
Nd  0.0000  0.5000  0.0000 (multiplicity 2)  4 Ga 3.13, 2 Nd 3.49
Nd  0.1332  0.0000  0.8279 (multiplicity 4)  3 Ga 3.06-3.07
Nd  0.2312  0.0000  0.2297 (multiplicity 4)  3 Ga 3.06-3.07
Ga  0.0252  0.0000  0.6518 (multiplicity 4)  1 Ga 2.54
Ga  0.1743  0.5000  0.5135 (multiplicity 4)  5 Nd 3.06-3.07, 2 Ce 3.09

Number 1: E -4.89 eV per atom. Number 2: E -7.96 eV per atom. Number 3: E -5.27 eV per atom. Number 4: E -2.83 eV per atom. Number 5: E -4.98 eV per atom. Number 6: E -3.15 eV per atom. Number 7: E -4.86 eV per atom. Number 8: E -2.88 eV per atom. Number 9: E -6.79 eV per atom. Number 10: E -4.37 eV per atom. Number 11: E -6.19 eV per atom. Number 12: E -4.47 eV per atom.